The following is a PBE calculation of Ba2TcAg after structural relaxation, from the Alexandria database.

Calculated values
Energy of formation from the pure elements in eV per atom: 0.76
M_tot in Bohr magnetons per cell: 7.0

```
data_Ba2TcAg
_cell_length_a 4.3799
_cell_length_b 4.3799
_cell_length_c 26.6870
_cell_angle_alpha 90.00
_cell_angle_beta 90.00
_cell_angle_gamma 120.00
_symmetry_space_group_name_H-M 'R -3 m'
_symmetry_Int_Tables_number 166
_symmetry_space_group_name_Hall '-R 3 2"'
loop_
_atom_site_label
_atom_site_type_symbol
_atom_site_fract_x
_atom_site_fract_y
_atom_site_fract_z
_atom_site_occupancy
Ba1 Ba 0.0000 0.0000 0.2434 1
Tc1 Tc 0.0000 0.0000 0.5000 1
Ag1 Ag 0.0000 0.0000 0.0000 1
```